## LiGdCuPd (PBE)

Data for an optimized crystal structure of LiGdCuPd.

The total energy comes out at -6.665 eV/atom.

```
data_LiGdCuPd
_symmetry_space_group_name_H-M 'F -4 3 m'
_symmetry_Int_Tables_number 216
_symmetry_space_group_name_Hall 'F -4 2 3'
_cell_length_a 6.7040
_cell_length_b 6.7040
_cell_length_c 6.7040
_cell_angle_alpha 90.00
_cell_angle_beta 90.00
_cell_angle_gamma 90.00
loop_
_atom_site_label
_atom_site_type_symbol
_atom_site_fract_x
_atom_site_fract_y
_atom_site_fract_z
Li1 Li 0.0000 0.0000 0.0000
Gd1 Gd 0.0000 0.0000 0.5000
Cu1 Cu 0.2500 0.2500 0.7500
Pd1 Pd 0.2500 0.2500 0.2500
```

## LiGdCuPt (PBE)

Data for an optimized crystal structure of LiGdCuPt.

The total energy comes out at -7.038 eV/atom.

```
data_LiGdCuPt
_symmetry_space_group_name_H-M 'F -4 3 m'
_symmetry_Int_Tables_number 216
_symmetry_space_group_name_Hall 'F -4 2 3'
_cell_length_a 6.6755
_cell_length_b 6.6755
_cell_length_c 6.6755
_cell_angle_alpha 90.00
_cell_angle_beta 90.00
_cell_angle_gamma 90.00
loop_
_atom_site_label
_atom_site_type_symbol
_atom_site_fract_x
_atom_site_fract_y
_atom_site_fract_z
Li1 Li 0.0000 0.0000 0.0000
Gd1 Gd 0.0000 0.0000 0.5000
Cu1 Cu 0.2500 0.2500 0.2500
Pt1 Pt 0.2500 0.2500 0.7500
```

## LiGdCuRu (PBE)

Data for an optimized crystal structure of LiGdCuRu.

The total energy comes out at -7.282 eV/atom.

```
data_LiGdCuRu
_symmetry_space_group_name_H-M 'F -4 3 m'
_symmetry_Int_Tables_number 216
_symmetry_space_group_name_Hall 'F -4 2 3'
_cell_length_a 6.4739
_cell_length_b 6.4739
_cell_length_c 6.4739
_cell_angle_alpha 90.00
_cell_angle_beta 90.00
_cell_angle_gamma 90.00
loop_
_atom_site_label
_atom_site_type_symbol
_atom_site_fract_x
_atom_site_fract_y
_atom_site_fract_z
Li1 Li 0.0000 0.0000 0.0000
Gd1 Gd 0.2500 0.2500 0.7500
Cu1 Cu 0.2500 0.2500 0.2500
Ru1 Ru 0.0000 0.0000 0.5000
```

## LiGdCuSi (PBE)

Data for an optimized crystal structure of LiGdCuSi.

The energy relative to the elements, uncorrected is -0.301 eV per atom.

```
data_LiGdCuSi
_symmetry_space_group_name_H-M 'F -4 3 m'
_symmetry_Int_Tables_number 216
_symmetry_space_group_name_Hall 'F -4 2 3'
_cell_length_a 6.3949
_cell_length_b 6.3949
_cell_length_c 6.3949
_cell_angle_alpha 90.00
_cell_angle_beta 90.00
_cell_angle_gamma 90.00
loop_
_atom_site_label
_atom_site_type_symbol
_atom_site_fract_x
_atom_site_fract_y
_atom_site_fract_z
Li1 Li 0.0000 0.0000 0.0000
Gd1 Gd 0.2500 0.2500 0.7500
Cu1 Cu 0.0000 0.0000 0.5000
Si1 Si 0.2500 0.2500 0.2500
```

## LiSmGdCu (PBE)

Data for an optimized crystal structure of LiSmGdCu.

The total energy comes out at -6.215 eV/atom.

```
data_LiSmGdCu
_symmetry_space_group_name_H-M 'F -4 3 m'
_symmetry_Int_Tables_number 216
_symmetry_space_group_name_Hall 'F -4 2 3'
_cell_length_a 7.2163
_cell_length_b 7.2163
_cell_length_c 7.2163
_cell_angle_alpha 90.00
_cell_angle_beta 90.00
_cell_angle_gamma 90.00
loop_
_atom_site_label
_atom_site_type_symbol
_atom_site_fract_x
_atom_site_fract_y
_atom_site_fract_z
Li1 Li 0.0000 0.0000 0.0000
Sm1 Sm 0.2500 0.2500 0.7500
Gd1 Gd 0.2500 0.2500 0.2500
Cu1 Cu 0.0000 0.0000 0.5000
```

## LiGdCuSn (PBE)

Data for an optimized crystal structure of LiGdCuSn.

The total energy comes out at -6.440 eV/atom.

```
data_LiGdCuSn
_symmetry_space_group_name_H-M 'F -4 3 m'
_symmetry_Int_Tables_number 216
_symmetry_space_group_name_Hall 'F -4 2 3'
_cell_length_a 6.7244
_cell_length_b 6.7244
_cell_length_c 6.7244
_cell_angle_alpha 90.00
_cell_angle_beta 90.00
_cell_angle_gamma 90.00
loop_
_atom_site_label
_atom_site_type_symbol
_atom_site_fract_x
_atom_site_fract_y
_atom_site_fract_z
Li1 Li 0.0000 0.0000 0.0000
Gd1 Gd 0.2500 0.2500 0.7500
Cu1 Cu 0.0000 0.0000 0.5000
Sn1 Sn 0.2500 0.2500 0.2500
```

## SrLiGdCu (PBE)

Data for an optimized crystal structure of SrLiGdCu.

The total energy comes out at -5.352 eV/atom.

```
data_SrLiGdCu
_symmetry_space_group_name_H-M 'F -4 3 m'
_symmetry_Int_Tables_number 216
_symmetry_space_group_name_Hall 'F -4 2 3'
_cell_length_a 7.4893
_cell_length_b 7.4893
_cell_length_c 7.4893
_cell_angle_alpha 90.00
_cell_angle_beta 90.00
_cell_angle_gamma 90.00
loop_
_atom_site_label
_atom_site_type_symbol
_atom_site_fract_x
_atom_site_fract_y
_atom_site_fract_z
Sr1 Sr 0.0000 0.0000 0.0000
Li1 Li 0.2500 0.2500 0.2500
Gd1 Gd 0.0000 0.0000 0.5000
Cu1 Cu 0.2500 0.2500 0.7500
```

## LiGdThCu (PBE)

Data for an optimized crystal structure of LiGdThCu.

The total energy comes out at -6.806 eV/atom.

```
data_LiGdThCu
_symmetry_space_group_name_H-M 'F -4 3 m'
_symmetry_Int_Tables_number 216
_symmetry_space_group_name_Hall 'F -4 2 3'
_cell_length_a 7.2070
_cell_length_b 7.2070
_cell_length_c 7.2070
_cell_angle_alpha 90.00
_cell_angle_beta 90.00
_cell_angle_gamma 90.00
loop_
_atom_site_label
_atom_site_type_symbol
_atom_site_fract_x
_atom_site_fract_y
_atom_site_fract_z
Li1 Li 0.0000 0.0000 0.0000
Gd1 Gd 0.2500 0.2500 0.7500
Th1 Th 0.2500 0.2500 0.2500
Cu1 Cu 0.0000 0.0000 0.5000
```

## LiGdTlCu (PBE)

Data for an optimized crystal structure of LiGdTlCu.

The total energy comes out at -5.765 eV/atom.

```
data_LiGdTlCu
_symmetry_space_group_name_H-M 'F -4 3 m'
_symmetry_Int_Tables_number 216
_symmetry_space_group_name_Hall 'F -4 2 3'
_cell_length_a 7.0195
_cell_length_b 7.0195
_cell_length_c 7.0195
_cell_angle_alpha 90.00
_cell_angle_beta 90.00
_cell_angle_gamma 90.00
loop_
_atom_site_label
_atom_site_type_symbol
_atom_site_fract_x
_atom_site_fract_y
_atom_site_fract_z
Li1 Li 0.0000 0.0000 0.0000
Gd1 Gd 0.0000 0.0000 0.5000
Tl1 Tl 0.2500 0.2500 0.7500
Cu1 Cu 0.2500 0.2500 0.2500
```

## GdLu3Cu (PBE)

Data for an optimized crystal structure of GdLu3Cu.

The total energy comes out at -6.271 eV/atom.

```
data_GdLu3Cu
_symmetry_space_group_name_H-M 'P m -3 m'
_symmetry_Int_Tables_number 221
_symmetry_space_group_name_Hall '-P 4 2 3'
_cell_length_a 5.2645
_cell_length_b 5.2645
_cell_length_c 5.2645
_cell_angle_alpha 90.00
_cell_angle_beta 90.00
_cell_angle_gamma 90.00
loop_
_atom_site_label
_atom_site_type_symbol
_atom_site_fract_x
_atom_site_fract_y
_atom_site_fract_z
Gd1 Gd 0.0000 0.0000 0.0000
Lu1 Lu 0.0000 0.5000 0.5000
Cu1 Cu 0.5000 0.5000 0.5000
```

## GdLu2Cu (PBE)

Data for an optimized crystal structure of GdLu2Cu.

Its distance to the lowest polymorph of the same formula is 0.0 kJ/mol of formula units.

```
data_GdLu2Cu
_symmetry_space_group_name_H-M 'P 4/m m m'
_symmetry_Int_Tables_number 123
_symmetry_space_group_name_Hall '-P 4 2'
_cell_length_a 3.4297
_cell_length_b 3.4297
_cell_length_c 8.6627
_cell_angle_alpha 90.00
_cell_angle_beta 90.00
_cell_angle_gamma 90.00
loop_
_atom_site_label
_atom_site_type_symbol
_atom_site_fract_x
_atom_site_fract_y
_atom_site_fract_z
Gd1 Gd 0.0000 0.0000 0.0000
Lu1 Lu 0.5000 0.5000 0.3083
Cu1 Cu 0.0000 0.0000 0.5000
```

## GdLu2Cu (PBE)

Data for an optimized crystal structure of GdLu2Cu.

Its distance to the lowest polymorph of the same formula is 123.4 kJ/mol of formula units.

```
data_GdLu2Cu
_symmetry_space_group_name_H-M 'R -3 m'
_symmetry_Int_Tables_number 166
_symmetry_space_group_name_Hall '-R 3 2"'
_cell_length_a 5.1882
_cell_length_b 5.1882
_cell_length_c 12.6795
_cell_angle_alpha 90.00
_cell_angle_beta 90.00
_cell_angle_gamma 120.00
loop_
_atom_site_label
_atom_site_type_symbol
_atom_site_fract_x
_atom_site_fract_y
_atom_site_fract_z
Gd1 Gd 0.0000 0.0000 0.0000
Lu1 Lu 0.0000 0.0000 0.2504
Cu1 Cu 0.0000 0.0000 0.5000
```

## GdLuCuPt (PBE)

Data for an optimized crystal structure of GdLuCuPt.

The total energy comes out at -7.958 eV/atom.

```
data_GdLuCuPt
_symmetry_space_group_name_H-M 'F -4 3 m'
_symmetry_Int_Tables_number 216
_symmetry_space_group_name_Hall 'F -4 2 3'
_cell_length_a 6.9288
_cell_length_b 6.9288
_cell_length_c 6.9288
_cell_angle_alpha 90.00
_cell_angle_beta 90.00
_cell_angle_gamma 90.00
loop_
_atom_site_label
_atom_site_type_symbol
_atom_site_fract_x
_atom_site_fract_y
_atom_site_fract_z
Gd1 Gd 0.0000 0.0000 0.0000
Lu1 Lu 0.0000 0.0000 0.5000
Cu1 Cu 0.2500 0.2500 0.2500
Pt1 Pt 0.2500 0.2500 0.7500
```

## GdLuCuRh (PBE)

Data for an optimized crystal structure of GdLuCuRh.

The total energy comes out at -8.083 eV/atom.

```
data_GdLuCuRh
_symmetry_space_group_name_H-M 'F -4 3 m'
_symmetry_Int_Tables_number 216
_symmetry_space_group_name_Hall 'F -4 2 3'
_cell_length_a 6.8710
_cell_length_b 6.8710
_cell_length_c 6.8710
_cell_angle_alpha 90.00
_cell_angle_beta 90.00
_cell_angle_gamma 90.00
loop_
_atom_site_label
_atom_site_type_symbol
_atom_site_fract_x
_atom_site_fract_y
_atom_site_fract_z
Gd1 Gd 0.0000 0.0000 0.0000
Lu1 Lu 0.0000 0.0000 0.5000
Cu1 Cu 0.2500 0.2500 0.7500
Rh1 Rh 0.2500 0.2500 0.2500
```

## GdLuCuRu (PBE)

Data for an optimized crystal structure of GdLuCuRu.

The total energy comes out at -8.338 eV/atom.

```
data_GdLuCuRu
_symmetry_space_group_name_H-M 'F -4 3 m'
_symmetry_Int_Tables_number 216
_symmetry_space_group_name_Hall 'F -4 2 3'
_cell_length_a 6.8288
_cell_length_b 6.8288
_cell_length_c 6.8288
_cell_angle_alpha 90.00
_cell_angle_beta 90.00
_cell_angle_gamma 90.00
loop_
_atom_site_label
_atom_site_type_symbol
_atom_site_fract_x
_atom_site_fract_y
_atom_site_fract_z
Gd1 Gd 0.0000 0.0000 0.0000
Lu1 Lu 0.0000 0.0000 0.5000
Cu1 Cu 0.2500 0.2500 0.7500
Ru1 Ru 0.2500 0.2500 0.2500
```